No. 1
Entry from Alexandria via LeMat-Bulk: crystalline Dy8Tl2Ru3 at its relaxed geometry (PBE).

Output
M_tot: 0.00 Bohr magnetons per cell

Cell and atoms, written as POSCAR:
```
Dy8Tl2Ru3
1.0
-0.1332 -1.4614 -4.7283
5.4936 -7.8377 2.2677
-8.7593 0.0736 0.2240
Dy Tl Ru
8 2 3
direct
0.0000 0.3886 0.7778 Dy
0.0000 0.8871 0.7744 Dy
0.5000 0.8652 0.2229 Dy
0.5000 0.3580 0.2216 Dy
0.0000 0.6114 0.2222 Dy
0.5000 0.1348 0.7771 Dy
0.5000 0.6420 0.7784 Dy
0.0000 0.1129 0.2256 Dy
0.5000 0.2547 0.5090 Tl
0.5000 0.7453 0.4910 Tl
0.0000 0.7508 0.0002 Ru
0.5000 0.0000 0.0000 Ru
0.0000 0.2492 0.9998 Ru
```

No. 2
Entry from Alexandria via LeMat-Bulk: crystalline Dy3Tl2Ru at its relaxed geometry (PBE).

Output
M_tot: 0.00 Bohr magnetons per cell
Offset from the most stable computed form: 0.091 eV per atom

Cell and atoms, written as POSCAR:
```
Dy3Tl2Ru
1.0
7.7820 0.0000 -0.6391
3.8910 5.3490 -0.3195
1.9690 0.0000 7.7725
Tl Dy Ru
4 6 2
direct
0.8600 0.2800 0.5000 Tl
0.1400 0.7200 0.5000 Tl
0.0000 0.0000 0.0000 Tl
0.5000 0.0000 0.5000 Tl
0.6667 0.0000 0.8361 Dy
0.0964 0.3573 0.7777 Dy
0.9036 0.6427 0.2223 Dy
0.4537 0.6427 0.7777 Dy
0.5463 0.3573 0.2223 Dy
0.3333 0.0000 0.1639 Dy
0.7129 0.5741 0.0000 Ru
0.2871 0.4259 0.0000 Ru
```

No. 3
Entry from Alexandria via LeMat-Bulk: crystalline Dy6TlRu at its relaxed geometry (PBE).

Output
M_tot: 0.00 Bohr magnetons per cell
Offset from the most stable computed form: 0.000 eV per atom

Cell and atoms, written as POSCAR:
```
Dy6TlRu
1.0
4.8465 0.0001 1.4596
-0.4398 4.8264 1.4599
-0.1800 -0.1985 9.3765
Dy Tl Ru
6 1 1
direct
0.6029 0.1030 0.7940 Dy
0.2504 0.2503 0.4994 Dy
0.3971 0.8970 0.2060 Dy
0.1031 0.6030 0.7940 Dy
0.8969 0.3970 0.2060 Dy
0.7496 0.7497 0.5006 Dy
0.5000 0.5000 0.0000 Tl
0.0000 0.0000 0.0000 Ru
```

No. 4
Entry from Alexandria via LeMat-Bulk: crystalline Dy12TlRu6 at its relaxed geometry (PBE).

Output
M_tot: 0.00 Bohr magnetons per cell

Cell and atoms, written as POSCAR:
```
Dy12TlRu6
1.0
-2.1107 5.2254 6.3894
-7.0084 -3.8225 -2.9757
5.4616 -5.8917 2.8359
Ru Dy Tl
6 12 1
direct
0.3758 0.5000 0.8758 Ru
0.6242 0.5000 0.1242 Ru
0.1242 0.6242 0.5000 Ru
0.5000 0.1242 0.6242 Ru
0.8758 0.3758 0.5000 Ru
0.5000 0.8758 0.3758 Ru
0.2964 0.4914 0.1949 Dy
0.1015 0.8051 0.2964 Dy
0.1949 0.2964 0.4914 Dy
0.8985 0.1949 0.7036 Dy
0.7036 0.8985 0.1949 Dy
0.4914 0.1949 0.2964 Dy
0.8051 0.7036 0.5086 Dy
0.8051 0.2964 0.1015 Dy
0.7036 0.5086 0.8051 Dy
0.1949 0.7036 0.8985 Dy
0.2964 0.1015 0.8051 Dy
0.5086 0.8051 0.7036 Dy
0.0000 0.0000 0.0000 Tl
```

No. 5
Entry from Alexandria via LeMat-Bulk: crystalline Dy4Tl2Ru at its relaxed geometry (PBE).

Output
M_tot: 0.00 Bohr magnetons per cell
Offset from the most stable computed form: 0.000 eV per atom

Cell and atoms, written as POSCAR:
```
Dy4Tl2Ru
1.0
-3.1466 2.9173 -1.8758
-3.5638 -2.7489 -4.1425
-6.5514 -0.8711 3.7893
Dy Tl Ru
4 2 1
direct
0.9309 0.7857 0.3524 Dy
0.3331 0.2764 0.0573 Dy
0.6669 0.7236 0.9427 Dy
0.0691 0.2143 0.6476 Dy
0.3414 0.6438 0.6734 Tl
0.6586 0.3562 0.3266 Tl
0.0000 0.0000 0.0000 Ru
```

No. 6
Entry from Alexandria via LeMat-Bulk: crystalline Dy2TlRu at its relaxed geometry (PBE).

Output
M_tot: 0.00 Bohr magnetons per cell
Offset from the most stable computed form: 0.010 eV per atom

Cell and atoms, written as POSCAR:
```
Dy2TlRu
1.0
-0.4543 -2.5830 -2.5425
4.8920 0.3069 -1.1860
1.0522 -3.5526 3.4212
Ru Tl Dy
1 1 2
direct
0.5000 0.0000 0.0000 Ru
0.5000 0.5000 0.5000 Tl
0.0000 0.5000 0.0000 Dy
0.0000 0.0000 0.5000 Dy
```

No. 7
Entry from Alexandria via LeMat-Bulk: crystalline Dy2TlRu at its relaxed geometry (PBE).

Output
M_tot: 0.00 Bohr magnetons per cell
Offset from the most stable computed form: 0.000 eV per atom

Cell and atoms, written as POSCAR:
```
Dy2TlRu
1.0
-3.2243 -3.8844 -0.5737
0.6644 -4.2691 2.6735
-3.2349 -1.1889 3.7331
Dy Tl Ru
2 1 1
direct
0.7500 0.7500 0.7500 Dy
0.2500 0.2500 0.2500 Dy
0.0000 0.0000 0.0000 Tl
0.5000 0.5000 0.5000 Ru
```

No. 8
Entry from Alexandria via LeMat-Bulk: crystalline Dy8TlRu2 at its relaxed geometry (PBE).

Output
M_tot: 0.00 Bohr magnetons per cell
Offset from the most stable computed form: 0.005 eV per atom

Cell and atoms, written as POSCAR:
```
Dy8TlRu2
1.0
5.0757 0.0696 -1.5213
-0.9000 6.2914 -2.7191
-0.0355 0.1368 9.1118
Dy Tl Ru
8 1 2
direct
0.9671 0.0139 0.5712 Dy
0.3055 0.3512 0.2469 Dy
0.6362 0.2835 0.9088 Dy
0.5275 0.7037 0.6913 Dy
0.9240 0.4312 0.4839 Dy
0.7453 0.9219 0.1272 Dy
0.3489 0.8560 0.3345 Dy
0.1363 0.5522 0.9093 Dy
0.1362 0.9849 0.9090 Tl
0.4640 0.2784 0.5641 Ru
0.8089 0.6232 0.2538 Ru
```

No. 9
Entry from Alexandria via LeMat-Bulk: crystalline Dy3Tl2Ru at its relaxed geometry (PBE).

Output
M_tot: 0.00 Bohr magnetons per cell
Offset from the most stable computed form: 0.000 eV per atom

Cell and atoms, written as POSCAR:
```
Dy3Tl2Ru
1.0
5.1221 0.0000 0.0213
2.5610 7.6006 0.0106
-0.0317 0.0000 7.6381
Tl Ru Dy
4 2 6
direct
0.0000 0.0000 0.0000 Tl
0.6644 0.6712 0.5000 Tl
0.3356 0.3288 0.5000 Tl
0.0000 0.0000 0.5000 Tl
0.6638 0.6723 0.0000 Ru
0.3362 0.3277 0.0000 Ru
0.5000 0.0000 0.2314 Dy
0.1762 0.6476 0.7813 Dy
0.8238 0.3524 0.2187 Dy
0.8238 0.3524 0.7813 Dy
0.1762 0.6476 0.2187 Dy
0.5000 0.0000 0.7686 Dy
```

No. 10
Entry from Alexandria via LeMat-Bulk: crystalline Dy4Tl2Ru at its relaxed geometry (PBE).

Output
M_tot: 0.00 Bohr magnetons per cell
Offset from the most stable computed form: 0.099 eV per atom

Cell and atoms, written as POSCAR:
```
Dy4Tl2Ru
1.0
3.5486 0.0000 0.0000
0.0000 9.0167 -1.5160
0.0000 -5.7101 7.2440
Ru Dy Tl
1 4 2
direct
0.0000 0.0714 0.0715 Ru
0.5000 0.8940 0.7423 Dy
0.0000 0.4381 0.1951 Dy
0.0000 0.7047 0.9478 Dy
0.5000 0.2488 0.4007 Dy
0.5000 0.8351 0.3371 Tl
0.5000 0.3076 0.8057 Tl
```

No. 11
Entry from Alexandria via LeMat-Bulk: crystalline DyTlRu at its relaxed geometry (PBE).

Output
M_tot: 0.00 Bohr magnetons per cell

Cell and atoms, written as POSCAR:
```
DyTlRu
1.0
3.5252 0.0000 0.0000
0.0000 3.5252 0.0000
-1.7626 -1.7626 5.1663
Ru Dy Tl
1 1 1
direct
0.2847 0.2847 0.5693 Ru
0.9325 0.9325 0.8651 Dy
0.6328 0.6328 0.2656 Tl
```

No. 12
Entry from Alexandria via LeMat-Bulk: crystalline DyTlRu at its relaxed geometry (PBE).

Output
M_tot: 0.00 Bohr magnetons per cell

Cell and atoms, written as POSCAR:
```
DyTlRu
1.0
3.5127 0.0000 0.0000
0.0000 4.6969 0.0000
0.0000 -2.3484 4.0676
Ru Dy Tl
1 1 1
direct
0.1646 0.3333 0.6667 Ru
0.6678 0.6667 0.3333 Dy
0.1677 0.0000 0.0000 Tl
```

Number 1: ΔE_f -0.25 eV per atom, energy -72.7 eV/cell. Number 2: ΔE_f -0.26 eV per atom, energy -58.8 eV/cell. Number 3: ΔE_f -0.09 eV per atom, energy -40.0 eV/cell. Number 4: ΔE_f -0.29 eV per atom, energy -118.7 eV/cell. Number 5: ΔE_f -0.32 eV per atom, energy -34.7 eV/cell. Number 6: ΔE_f -0.25 eV per atom, energy -21.8 eV/cell. Number 7: ΔE_f -0.26 eV per atom, energy -21.9 eV/cell. Number 8: ΔE_f -0.22 eV per atom, energy -60.2 eV/cell. Number 9: ΔE_f -0.35 eV per atom, energy -59.9 eV/cell. Number 10: ΔE_f -0.22 eV per atom, energy -34.0 eV/cell. Number 11: ΔE_f -0.11 eV per atom, energy -16.6 eV/cell. Number 12: ΔE_f 0.01 eV per atom, energy -16.2 eV/cell.